[1]
Below is a relaxed TbTmBi2 crystal, with properties calculated at the PBE-GGA level.

POSCAR file:
```
TbTmBi2
1.0
4.4600 0.0000 0.0000
0.0000 6.3062 0.0000
0.0000 0.0000 8.9190
Tb Tm Bi
2 2 4
Direct
0.2500 0.2500 0.1252
0.7500 0.7500 0.8748
0.2500 0.2500 0.6247
0.7500 0.7500 0.3753
0.2500 0.7500 0.1283
0.2500 0.7500 0.6218
0.7500 0.2500 0.3782
0.7500 0.2500 0.8717
```

Summary:
Polymorph energy (0 for the lowest one) ... 0.0 meV/atom
ρ ... 9.9 g/cm3

***

[2]
Below is a relaxed TbTmBi2 crystal, with properties calculated at the PBE-GGA level.

POSCAR file:
```
TbTmBi2
1.0
2.2136 1.2780 7.5549
-2.2136 1.2780 7.5549
0.0000 -2.5560 7.5549
Tb Tm Bi
1 1 2
Direct
0.0000 0.0000 0.0000
0.8296 0.8296 0.8296
0.2455 0.2455 0.2455
0.4179 0.4179 0.4179
```

Summary:
Polymorph energy (0 for the lowest one) ... 95.1 meV/atom
ρ ... 9.7 g/cm3